! PBE ScIn2Ru, relaxed; values from VASP
! E_form in eV per formula unit: -0.45
! DFT total energy in eV/atom: -5.38
&SYSTEM
  ibrav = 0, nat = 4, ntyp = 3
/
ATOMIC_SPECIES
Ru 101.07 Ru.upf
In 114.82 In.upf
Sc 44.96 Sc.upf
CELL_PARAMETERS angstrom
-0.376 -3.600 -2.824
3.158 -0.341 0.014
1.239 -3.509 4.307
ATOMIC_POSITIONS crystal
Ru 0.500 0.250 0.250
In 0.000 0.407 0.484
In 0.000 0.093 0.016
Sc 0.500 0.750 0.750